# 1
Here is a relaxed structure of BePt2F from Alexandria. Energies are from GGA-PBE.

- Excess energy over the best structure of this formula in the dataset: 0.000 eV per formula unit
- DOS(E_F): 0.575 states/eV/atom
- Formation energy without anion corrections: -259 meV per atom

Unit cell a=4.100 b=4.100 c=4.100 alpha=60.00 beta=60.00 gamma=60.00
Fractional coordinates of all 4 atoms:
Be1 0.000 0.000 0.000
Pt1 0.250 0.250 0.250
Pt2 0.750 0.750 0.750
F1 0.500 0.500 0.500

---

# 2
Here is a relaxed structure of Rb2BePtF6 from Alexandria. Energies are from GGA-PBE.

- DOS(E_F): 0.000 states/eV/atom
- Formation energy without anion corrections: -2176 meV per atom

Unit cell a=6.021 b=6.021 c=6.021 alpha=122.90 beta=122.90 gamma=85.05
Fractional coordinates of all 10 atoms:
Rb1 0.250 0.750 0.500
Rb2 0.750 0.250 0.500
Be1 0.000 0.000 0.000
Pt1 0.500 0.500 0.000
F1 0.208 0.208 0.417
F2 0.208 0.792 0.000
F3 0.261 0.261 0.000
F4 0.739 0.739 0.000
F5 0.792 0.208 0.000
F6 0.792 0.792 0.583

---

# 3
Here is a relaxed structure of RbBePtF2 from Alexandria. Energies are from GGA-PBE.

- DOS(E_F): 1.000 states/eV/atom
- Formation energy without anion corrections: 361 meV per atom

Unit cell a=4.417 b=4.417 c=7.084 alpha=90.00 beta=90.00 gamma=90.00
Fractional coordinates of all 5 atoms:
Rb1 0.000 0.000 0.000
Be1 0.000 0.000 0.500
Pt1 0.500 0.500 0.500
F1 0.000 0.500 0.000
F2 0.500 0.000 0.000

---

# 4
Here is a relaxed structure of BePtRhF2 from Alexandria. Energies are from GGA-PBE.

- DOS(E_F): 0.723 states/eV/atom
- Formation energy without anion corrections: -210 meV per atom

Unit cell a=3.835 b=3.835 c=5.384 alpha=90.00 beta=90.00 gamma=90.00
Fractional coordinates of all 5 atoms:
Be1 0.000 0.000 0.000
Pt1 0.500 0.500 0.000
Rh1 0.500 0.500 0.500
F1 0.000 0.500 0.500
F2 0.500 0.000 0.500

---

# 5
Here is a relaxed structure of BeSiPt2F from Alexandria. Energies are from GGA-PBE.

- Excess energy over the best structure of this formula in the dataset: 0.184 eV per formula unit
- DOS(E_F): 0.411 states/eV/atom
- Formation energy without anion corrections: -226 meV per atom

Unit cell a=4.945 b=4.945 c=2.831 alpha=90.00 beta=90.00 gamma=90.00
Fractional coordinates of all 5 atoms:
Be1 0.000 0.000 0.000
Si1 0.500 0.500 0.000
Pt1 0.000 0.500 0.500
Pt2 0.500 0.000 0.500
F1 0.000 0.000 0.500

---

# 6
Here is a relaxed structure of BeSi2PtF from Alexandria. Energies are from GGA-PBE.

- DOS(E_F): 0.428 states/eV/atom
- Formation energy without anion corrections: 224 meV per atom

Unit cell a=4.235 b=4.235 c=4.194 alpha=90.00 beta=90.00 gamma=90.00
Fractional coordinates of all 5 atoms:
Be1 0.000 0.000 0.000
Si1 0.000 0.500 0.000
Si2 0.500 0.000 0.000
Pt1 0.000 0.000 0.500
F1 0.500 0.500 0.500

---

# 7
Here is a relaxed structure of BeSiPt2F from Alexandria. Energies are from GGA-PBE.

- Excess energy over the best structure of this formula in the dataset: 0.000 eV per formula unit
- DOS(E_F): 0.425 states/eV/atom
- Formation energy without anion corrections: -263 meV per atom

Unit cell a=4.622 b=4.622 c=3.566 alpha=90.00 beta=90.00 gamma=90.00
Fractional coordinates of all 5 atoms:
Be1 0.000 0.000 0.000
Si1 0.500 0.500 0.500
Pt1 0.000 0.500 0.500
Pt2 0.500 0.000 0.500
F1 0.500 0.500 0.000

---

# 8
Here is a relaxed structure of PuBeF6 from Alexandria. Energies are from GGA-PBE.

- Formation energy without anion corrections: -3251 meV per atom

Unit cell a=5.457 b=5.457 c=5.457 alpha=56.78 beta=56.78 gamma=56.78
Fractional coordinates of all 8 atoms:
Pu1 0.000 0.000 0.000
Be1 0.500 0.500 0.500
F1 0.167 0.721 0.388
F2 0.279 0.612 0.833
F3 0.388 0.167 0.721
F4 0.612 0.833 0.279
F5 0.721 0.388 0.167
F6 0.833 0.279 0.612

---

Question: What is the formation energy without anion corrections in the first record?
Answer: -259 meV per atom

---

Question: Number 2 is which compound?
Answer: Rb2BePtF6

---

Question: Which value of formation energy without anion corrections does entry 7 give?
Answer: -263 meV per atom

---

Question: Which of these has the lowest formation energy without anion corrections?
Answer: PuBeF6